Dy2ErLuIn2 after structural relaxation. Source: OQMD via LeMat-Bulk, functional GGA-PBE.

POSCAR file:
```
Dy2ErLuIn2
1.0
5.348 0.000 0.000
-2.674 4.631 0.000
0.000 0.000 6.694
In Dy Er Lu
2 2 1 1
direct
0.333 0.667 0.000 In
0.000 0.000 0.500 In
0.667 0.333 0.250 Dy
0.667 0.333 0.750 Dy
0.000 0.000 0.000 Er
0.333 0.667 0.500 Lu
```

Values from the calculation:
For the total energy, the calculation gives -25.9 eV/cell. Its magnetization is 0.07 μB/cell. Its space-group type is P-6m2, No. 187.

HoAgTeSe after structural relaxation. Source: OQMD via LeMat-Bulk, functional GGA-PBE.

POSCAR file:
```
HoAgTeSe
1.0
4.700 -5.121 0.000
4.700 5.121 0.000
0.000 0.000 4.452
Te Se Ag Ho
2 2 2 2
direct
0.794 0.206 0.304 Te
0.206 0.794 0.304 Te
0.300 0.300 0.722 Se
0.700 0.700 0.722 Se
0.000 0.500 0.968 Ag
0.500 0.000 0.968 Ag
0.500 0.500 0.199 Ho
0.000 0.000 0.813 Ho
```

Values from the calculation:
For the total energy, the calculation gives -36.5 eV/cell. Its magnetization is 0.00 μB/cell. For the offset from the most stable computed form, the calculation gives 3 meV per atom. Its space-group type is Cmm2, No. 35.

Fe2SnIr after structural relaxation. Source: OQMD via LeMat-Bulk, functional GGA-PBE.

POSCAR file:
```
Fe2SnIr
1.0
0.000 3.082 3.082
3.082 0.000 3.082
3.082 3.082 0.000
Fe Sn Ir
2 1 1
direct
0.750 0.750 0.750 Fe
0.500 0.500 0.500 Fe
0.000 0.000 0.000 Sn
0.250 0.250 0.250 Ir
```

Values from the calculation:
For the total energy, the calculation gives -29.5 eV/cell. Its magnetization is 5.21 μB/cell. Its space-group type is F-43m, No. 216.

Er3Ga4Pd2 after structural relaxation. Source: OQMD via LeMat-Bulk, functional GGA-PBE.

POSCAR file:
```
Er3Ga4Pd2
1.0
5.271 -2.199 0.000
5.271 2.199 0.000
-3.462 0.000 7.696
Ga Er Pd
4 3 2
direct
0.980 0.980 0.641 Ga
0.742 0.742 0.081 Ga
0.020 0.020 0.359 Ga
0.258 0.258 0.919 Ga
0.679 0.679 0.644 Er
0.321 0.321 0.356 Er
0.000 0.000 0.000 Er
0.403 0.403 0.735 Pd
0.597 0.597 0.265 Pd
```

Values from the calculation:
For the total energy, the calculation gives -43.5 eV/cell. Its magnetization is 0.01 μB/cell. Its space-group type is C2/m, No. 12.

KPrSO after structural relaxation. Source: OQMD via LeMat-Bulk, functional GGA-PBE.

POSCAR file:
```
KPrSO
1.0
8.111 0.000 0.000
0.000 9.483 0.000
0.000 0.000 5.727
O Pr S K
4 4 4 4
direct
0.439 0.149 0.565 O
0.561 0.851 0.065 O
0.939 0.851 0.565 O
0.061 0.149 0.065 O
0.447 0.654 0.063 Pr
0.947 0.346 0.063 Pr
0.053 0.654 0.563 Pr
0.553 0.346 0.563 Pr
0.095 0.624 0.064 S
0.405 0.624 0.564 S
0.905 0.376 0.564 S
0.595 0.376 0.064 S
0.387 0.090 0.058 K
0.113 0.090 0.558 K
0.887 0.910 0.058 K
0.613 0.910 0.558 K
```

Values from the calculation:
For the total energy, the calculation gives -92.1 eV/cell. Its magnetization is 0.00 μB/cell. For the offset from the most stable computed form, the calculation gives 198 meV per atom. Its space-group type is Pca2_1, No. 29.

PuThSc after structural relaxation. Source: OQMD via LeMat-Bulk, functional GGA-PBE.

POSCAR file:
```
PuThSc
1.0
0.000 3.527 3.527
3.527 0.000 3.527
3.527 3.527 0.000
Th Pu Sc
1 1 1
direct
0.750 0.750 0.750 Th
0.250 0.250 0.250 Pu
0.000 0.000 0.000 Sc
```

Values from the calculation:
For the total energy, the calculation gives -25.5 eV/cell. Its magnetization is 5.72 μB/cell. The energy relative to the elements comes out at 781 meV/atom. Its space-group type is F-43m, No. 216.